1.
GGA-PBE LiTbMgTl2, optimized geometry; DFT total energy = -0.19979 Ry per atom; SG = Pmma, No. 51; ΔH_f (0 K) = -69 kJ/mol of formula units
1.0
5.659 0.000 0.000
0.000 6.643 0.000
0.000 0.000 6.457
Li Tb Mg Tl
2 2 2 4
direct
0.000 0.000 0.000 Li
0.500 0.000 0.000 Li
0.250 0.500 0.221 Tb
0.750 0.500 0.779 Tb
0.250 0.000 0.371 Mg
0.750 0.000 0.629 Mg
0.250 0.265 0.735 Tl
0.250 0.735 0.735 Tl
0.750 0.265 0.265 Tl
0.750 0.735 0.265 Tl

2.
GGA-PBE Pr2HfZnO6, optimized geometry; DFT total energy = -0.59277 Ry per atom; SG = P2_1/c, No. 14; formation energy (no corrections) = -3.011 eV per atom
1.0
5.624 0.000 0.000
0.000 5.849 0.000
-5.518 0.000 8.138
Pr Hf Zn O
4 2 2 12
direct
0.231 0.057 0.248 Pr
0.231 0.443 0.748 Pr
0.769 0.557 0.252 Pr
0.769 0.943 0.752 Pr
0.500 0.000 0.000 Hf
0.500 0.500 0.500 Hf
0.000 0.000 0.500 Zn
0.000 0.500 0.000 Zn
0.150 0.197 0.946 O
0.150 0.303 0.446 O
0.244 0.708 0.940 O
0.244 0.792 0.440 O
0.365 0.040 0.756 O
0.365 0.460 0.256 O
0.635 0.540 0.744 O
0.635 0.960 0.244 O
0.756 0.208 0.560 O
0.756 0.292 0.060 O
0.850 0.697 0.554 O
0.850 0.803 0.054 O

3.
GGA-PBE Cd2In3Pb3, optimized geometry; DFT total energy = -0.19013 Ry per atom; SG = Cmcm, No. 63; ΔH_f (0 K) = 46 kJ/mol of formula units; E above lowest polymorph = 0.027 eV/atom
1.0
2.354 -5.894 0.000
2.354 5.894 0.000
0.000 0.000 16.485
Cd In Pb
4 6 6
direct
0.223 0.777 0.620 Cd
0.223 0.777 0.880 Cd
0.777 0.223 0.120 Cd
0.777 0.223 0.380 Cd
0.372 0.628 0.030 In
0.372 0.628 0.470 In
0.404 0.596 0.750 In
0.596 0.404 0.250 In
0.628 0.372 0.530 In
0.628 0.372 0.970 In
0.057 0.943 0.113 Pb
0.057 0.943 0.387 Pb
0.327 0.673 0.250 Pb
0.673 0.327 0.750 Pb
0.943 0.057 0.613 Pb
0.943 0.057 0.887 Pb

4.
GGA-PBE OsBr2, optimized geometry; DFT total energy = -0.27456 Ry per atom; SG = I4/mmm, No. 139; formation energy (no corrections) = 1.123 eV per atom; E above lowest polymorph = 0.837 eV/atom
1.0
3.233 0.000 0.000
0.000 3.233 0.000
0.000 0.000 13.291
Os Br
2 4
direct
0.000 0.000 0.000 Os
0.500 0.500 0.500 Os
0.000 0.000 0.382 Br
0.000 0.000 0.618 Br
0.500 0.500 0.118 Br
0.500 0.500 0.882 Br

5.
GGA-PBE KBiS2O6, optimized geometry; DFT total energy = -0.41918 Ry per atom; SG = C2/c, No. 15; formation energy (no corrections) = -1.405 eV per atom
1.0
4.906 -4.778 0.000
4.906 4.778 0.000
-4.122 0.000 7.018
K Bi S O
2 2 4 12
direct
0.056 0.944 0.750 K
0.944 0.056 0.250 K
0.384 0.616 0.250 Bi
0.616 0.384 0.750 Bi
0.112 0.460 0.740 S
0.460 0.112 0.240 S
0.540 0.888 0.760 S
0.888 0.540 0.260 S
0.033 0.648 0.199 O
0.224 0.276 0.652 O
0.276 0.224 0.152 O
0.287 0.605 0.930 O
0.352 0.967 0.301 O
0.395 0.713 0.570 O
0.605 0.287 0.430 O
0.648 0.033 0.699 O
0.713 0.395 0.070 O
0.724 0.776 0.848 O
0.776 0.724 0.348 O
0.967 0.352 0.801 O

6.
GGA-PBE NaYZrW, optimized geometry; DFT total energy = -0.50927 Ry per atom; SG = P1, No. 1; ΔH_f (0 K) = 151 kJ/mol of formula units; E above lowest polymorph = 0.107 eV/atom
1.0
3.109 0.000 0.000
0.970 2.955 0.000
0.009 0.028 10.760
Na Y Zr W
1 1 1 1
direct
0.000 0.000 0.000 Na
0.497 0.503 0.307 Y
0.497 0.498 0.712 Zr
0.996 0.000 0.522 W

7.
GGA-PBE CaOs2Rh, optimized geometry; DFT total energy = -0.55201 Ry per atom; SG = Pmmm, No. 47; ΔH_f (0 K) = 171 kJ/mol of formula units; E above lowest polymorph = 0.226 eV/atom
1.0
2.871 0.000 0.000
0.000 4.589 0.000
0.000 0.000 4.928
Ca Os Rh
1 2 1
direct
0.000 0.000 0.000 Ca
0.000 0.500 0.500 Os
0.500 0.000 0.500 Os
0.500 0.500 0.000 Rh

8.
GGA-PBE BaCaGeS4, optimized geometry; DFT total energy = -0.36639 Ry per atom; SG = P2_1/m, No. 11; formation energy (no corrections) = -1.406 eV per atom
1.0
6.716 0.000 0.000
0.000 6.805 0.000
-2.541 0.000 8.050
Ba Ca Ge S
2 2 2 8
direct
0.239 0.250 0.435 Ba
0.761 0.750 0.565 Ba
0.271 0.250 0.946 Ca
0.729 0.750 0.054 Ca
0.274 0.750 0.180 Ge
0.726 0.250 0.820 Ge
0.073 0.750 0.921 S
0.083 0.750 0.357 S
0.495 0.003 0.231 S
0.495 0.497 0.231 S
0.505 0.503 0.769 S
0.505 0.997 0.769 S
0.917 0.250 0.643 S
0.927 0.250 0.079 S

9.
GGA-PBE Ac3La2UN6, optimized geometry; DFT total energy = -0.60363 Ry per atom; SG = C2/m, No. 12; formation energy (no corrections) = -1.261 eV per atom
1.0
3.237 -5.601 0.000
3.237 5.601 0.000
-2.129 0.000 6.155
Ac La U N
3 2 1 6
direct
0.000 0.000 0.000 Ac
0.334 0.666 0.000 Ac
0.666 0.334 0.000 Ac
0.167 0.833 0.500 La
0.833 0.167 0.500 La
0.500 0.500 0.500 U
0.143 0.430 0.293 N
0.279 0.279 0.723 N
0.430 0.143 0.293 N
0.570 0.857 0.707 N
0.721 0.721 0.277 N
0.857 0.570 0.707 N

10.
GGA-PBE RbMn2CuS4, optimized geometry; DFT total energy = -0.37889 Ry per atom; SG = I222, No. 23; formation energy (no corrections) = -0.166 eV per atom
1.0
5.479 0.000 0.000
0.000 8.050 0.000
0.000 0.000 9.597
Rb Mn Cu S
2 4 2 8
direct
0.000 0.000 0.000 Rb
0.500 0.500 0.500 Rb
0.000 0.500 0.109 Mn
0.000 0.500 0.891 Mn
0.500 0.000 0.391 Mn
0.500 0.000 0.609 Mn
0.000 0.000 0.500 Cu
0.500 0.500 0.000 Cu
0.204 0.148 0.328 S
0.204 0.852 0.672 S
0.296 0.352 0.828 S
0.296 0.648 0.172 S
0.704 0.352 0.172 S
0.704 0.648 0.828 S
0.796 0.148 0.672 S
0.796 0.852 0.328 S

11.
GGA-PBE Sr5Li2F12, optimized geometry; DFT total energy = -0.40336 Ry per atom; SG = C2/m, No. 12; formation energy (no corrections) = -3.662 eV per atom
1.0
6.598 -3.123 0.000
6.598 3.123 0.000
-2.310 0.000 7.472
Sr Li F
5 2 12
direct
0.000 0.000 0.000 Sr
0.312 0.312 0.653 Sr
0.320 0.320 0.161 Sr
0.680 0.680 0.839 Sr
0.688 0.688 0.347 Sr
0.211 0.789 0.500 Li
0.789 0.211 0.500 Li
0.000 0.000 0.308 F
0.000 0.000 0.692 F
0.092 0.595 0.925 F
0.096 0.570 0.413 F
0.405 0.908 0.075 F
0.430 0.904 0.587 F
0.497 0.497 0.695 F
0.503 0.503 0.305 F
0.570 0.096 0.413 F
0.595 0.092 0.925 F
0.904 0.430 0.587 F
0.908 0.405 0.075 F

12.
GGA-PBE Ba2PdPbF, optimized geometry; DFT total energy = -0.29018 Ry per atom; SG = P4/mmm, No. 123; formation energy (no corrections) = -1.025 eV per atom
1.0
5.574 0.000 0.000
0.000 5.574 0.000
0.000 0.000 4.912
Ba Pd Pb F
2 1 1 1
direct
0.000 0.500 0.000 Ba
0.500 0.000 0.000 Ba
0.000 0.000 0.500 Pd
0.500 0.500 0.500 Pb
0.500 0.500 0.000 F

13.
GGA-PBE SnPbAu, optimized geometry; DFT total energy = -0.27378 Ry per atom; SG = P3m1, No. 156; ΔH_f (0 K) = -18 kJ/mol of formula units
1.0
4.813 0.000 0.000
-2.406 4.168 0.000
0.000 0.000 3.974
Sn Pb Au
1 1 1
direct
0.000 0.000 0.000 Sn
0.333 0.667 0.501 Pb
0.667 0.333 0.952 Au

14.
GGA-PBE LaCo3Si, optimized geometry; DFT total energy = -0.34338 Ry per atom; SG = Pm-3m, No. 221; formation energy (no corrections) = 1.662 eV per atom; E above lowest polymorph = 1.708 eV/atom
1.0
4.574 0.000 0.000
0.000 4.574 0.000
0.000 0.000 4.574
La Co Si
1 3 1
direct
0.000 0.000 0.000 La
0.000 0.000 0.500 Co
0.000 0.500 0.000 Co
0.500 0.000 0.000 Co
0.500 0.500 0.500 Si

15.
GGA-PBE CaSb2Se, optimized geometry; DFT total energy = -0.30571 Ry per atom; SG = C2/m, No. 12; formation energy (no corrections) = -0.727 eV per atom
1.0
12.572 0.000 0.000
0.000 4.215 0.000
-0.528 0.000 4.377
Ca Sb Se
2 4 2
direct
0.000 0.000 0.000 Ca
0.500 0.500 0.000 Ca
0.233 0.500 0.772 Sb
0.267 0.000 0.228 Sb
0.733 0.000 0.772 Sb
0.767 0.500 0.228 Sb
0.000 0.500 0.500 Se
0.500 0.000 0.500 Se

16.
GGA-PBE NdDy3Ho2Te6, optimized geometry; DFT total energy = -0.38025 Ry per atom; SG = C2/m, No. 12; formation energy (no corrections) = -1.292 eV per atom
1.0
9.514 -2.172 0.000
9.514 2.172 0.000
-1.938 0.000 8.582
Nd Dy Ho Te
1 3 2 6
direct
0.000 0.000 0.000 Nd
0.000 0.000 0.500 Dy
0.339 0.339 0.166 Dy
0.661 0.661 0.834 Dy
0.336 0.336 0.670 Ho
0.664 0.664 0.330 Ho
0.168 0.168 0.584 Te
0.172 0.172 0.088 Te
0.498 0.498 0.741 Te
0.502 0.502 0.259 Te
0.828 0.828 0.912 Te
0.832 0.832 0.416 Te

17.
GGA-PBE AcLaAg, optimized geometry; DFT total energy = -0.30241 Ry per atom; SG = Pmma, No. 51; ΔH_f (0 K) = -44 kJ/mol of formula units; E above lowest polymorph = 0.000 eV/atom
1.0
16.109 0.000 0.000
0.000 4.118 0.000
0.000 0.000 9.143
Ac La Ag
6 6 6
direct
0.048 0.000 0.214 Ac
0.250 0.000 0.842 Ac
0.452 0.000 0.214 Ac
0.548 0.000 0.786 Ac
0.750 0.000 0.158 Ac
0.952 0.000 0.786 Ac
0.110 0.500 0.563 La
0.250 0.500 0.199 La
0.390 0.500 0.563 La
0.610 0.500 0.437 La
0.750 0.500 0.801 La
0.890 0.500 0.437 La
0.094 0.500 0.939 Ag
0.250 0.000 0.457 Ag
0.406 0.500 0.939 Ag
0.594 0.500 0.061 Ag
0.750 0.000 0.543 Ag
0.906 0.500 0.061 Ag

18.
GGA-PBE Mn2TlFe, optimized geometry; DFT total energy = -0.48674 Ry per atom; SG = R3m, No. 160; ΔH_f (0 K) = 258 kJ/mol of formula units; E above lowest polymorph = 0.273 eV/atom
1.0
2.936 0.000 0.000
-1.468 2.543 0.000
0.000 0.000 25.465
Mn Tl Fe
6 3 3
direct
0.000 0.000 0.000 Mn
0.000 0.000 0.256 Mn
0.333 0.667 0.667 Mn
0.333 0.667 0.923 Mn
0.667 0.333 0.333 Mn
0.667 0.333 0.590 Mn
0.000 0.000 0.762 Tl
0.333 0.667 0.429 Tl
0.667 0.333 0.096 Tl
0.000 0.000 0.522 Fe
0.333 0.667 0.189 Fe
0.667 0.333 0.856 Fe

19.
GGA-PBE Li4YSi4, optimized geometry; DFT total energy = -0.30747 Ry per atom; SG = P4_2/nmc, No. 137; formation energy (no corrections) = -0.204 eV per atom
1.0
5.927 0.000 0.000
0.000 5.927 0.000
0.000 0.000 8.530
Li Y Si
8 2 8
direct
0.006 0.250 0.161 Li
0.250 0.006 0.661 Li
0.250 0.494 0.661 Li
0.494 0.250 0.161 Li
0.506 0.750 0.839 Li
0.750 0.506 0.339 Li
0.750 0.994 0.339 Li
0.994 0.750 0.839 Li
0.250 0.750 0.250 Y
0.750 0.250 0.750 Y
0.051 0.250 0.461 Si
0.250 0.051 0.961 Si
0.250 0.449 0.961 Si
0.449 0.250 0.461 Si
0.551 0.750 0.539 Si
0.750 0.551 0.039 Si
0.750 0.949 0.039 Si
0.949 0.750 0.539 Si

20.
GGA-PBE SrLiCo4, optimized geometry; DFT total energy = -0.37126 Ry per atom; SG = F-43m, No. 216; ΔH_f (0 K) = 165 kJ/mol of formula units
1.0
0.000 3.566 3.566
3.566 0.000 3.566
3.566 3.566 0.000
Sr Li Co
1 1 4
direct
0.000 0.000 0.000 Sr
0.250 0.250 0.250 Li
0.128 0.624 0.624 Co
0.624 0.128 0.624 Co
0.624 0.624 0.128 Co
0.624 0.624 0.624 Co

21.
GGA-PBE KMn2SbRh, optimized geometry; DFT total energy = -0.36117 Ry per atom; SG = P4/mmm, No. 123; formation energy (no corrections) = 1.268 eV per atom
1.0
5.037 0.000 0.000
0.000 5.037 0.000
0.000 0.000 6.118
K Mn Sb Rh
1 2 1 1
direct
0.000 0.000 0.000 K
0.000 0.500 0.500 Mn
0.500 0.000 0.500 Mn
0.000 0.000 0.500 Sb
0.500 0.500 0.000 Rh

22.
GGA-PBE MgRePt6, optimized geometry; DFT total energy = -0.48588 Ry per atom; SG = P4/mmm, No. 123; ΔH_f (0 K) = -251 kJ/mol of formula units
1.0
3.947 0.000 0.000
0.000 3.947 0.000
0.000 0.000 7.957
Mg Re Pt
1 1 6
direct
0.000 0.000 0.000 Mg
0.000 0.000 0.500 Re
0.000 0.500 0.258 Pt
0.000 0.500 0.742 Pt
0.500 0.000 0.258 Pt
0.500 0.000 0.742 Pt
0.500 0.500 0.000 Pt
0.500 0.500 0.500 Pt